[1]
Density functional theory data (GGA-PBE) for a relaxed Pm2ThNpP4 crystal.

* DFT formation energy: -1.39 eV per atom

Cell and atoms, written as CIF:
```
data_Pm2ThNpP4
_chemical_formula_sum 'Pm2 Th1 Np1 P4'
_cell_length_a 7.085
_cell_length_b 4.095
_cell_length_c 7.105
_cell_angle_alpha 90.00
_cell_angle_beta 109.46
_cell_angle_gamma 90.00
_symmetry_space_group_name_H-M 'P 1'
_symmetry_Int_Tables_number 1
loop_
_symmetry_equiv_pos_as_xyz
'x,y,z'
loop_
_atom_site_label
_atom_site_fract_x
_atom_site_fract_y
_atom_site_fract_z
_atom_site_occupancy
Pm1 0.000 0.000 0.000 1
Pm2 0.500 0.500 0.000 1
Th1 0.000 0.500 0.500 1
Np1 0.500 0.000 0.500 1
P1 0.254 0.000 0.745 1
P2 0.259 0.500 0.260 1
P3 0.741 0.500 0.740 1
P4 0.746 0.000 0.255 1
```

***

[2]
Density functional theory data (GGA-PBE) for a relaxed Pm2TmNpP4 crystal.

* DFT formation energy: -1.39 eV per atom

Cell and atoms, written as CIF:
```
data_Pm2TmNpP4
_chemical_formula_sum 'Pm2 Tm1 Np1 P4'
_cell_length_a 6.977
_cell_length_b 4.032
_cell_length_c 7.001
_cell_angle_alpha 90.00
_cell_angle_beta 109.30
_cell_angle_gamma 90.00
_symmetry_space_group_name_H-M 'P 1'
_symmetry_Int_Tables_number 1
loop_
_symmetry_equiv_pos_as_xyz
'x,y,z'
loop_
_atom_site_label
_atom_site_fract_x
_atom_site_fract_y
_atom_site_fract_z
_atom_site_occupancy
Pm1 0.000 0.000 0.000 1
Pm2 0.500 0.500 0.000 1
Tm1 0.000 0.500 0.500 1
Np1 0.500 0.000 0.500 1
P1 0.248 0.000 0.736 1
P2 0.256 0.500 0.264 1
P3 0.744 0.500 0.736 1
P4 0.752 0.000 0.264 1
```

***

[3]
Density functional theory data (GGA-PBE) for a relaxed Pm2NpUP4 crystal.

* DFT formation energy: -1.24 eV per atom

Cell and atoms, written as CIF:
```
data_Pm2NpUP4
_chemical_formula_sum 'Pm2 Np1 U1 P4'
_cell_length_a 6.949
_cell_length_b 4.017
_cell_length_c 7.047
_cell_angle_alpha 90.00
_cell_angle_beta 109.23
_cell_angle_gamma 90.00
_symmetry_space_group_name_H-M 'P 1'
_symmetry_Int_Tables_number 1
loop_
_symmetry_equiv_pos_as_xyz
'x,y,z'
loop_
_atom_site_label
_atom_site_fract_x
_atom_site_fract_y
_atom_site_fract_z
_atom_site_occupancy
Pm1 0.000 0.000 0.000 1
Pm2 0.500 0.500 0.000 1
Np1 0.000 0.500 0.500 1
U1 0.500 0.000 0.500 1
P1 0.247 0.000 0.735 1
P2 0.257 0.500 0.265 1
P3 0.743 0.500 0.735 1
P4 0.753 0.000 0.265 1
```

***

[4]
Density functional theory data (GGA-PBE) for a relaxed PmNp2UP4 crystal.

* DFT formation energy: -1.05 eV per atom

Cell and atoms, written as CIF:
```
data_PmNp2UP4
_chemical_formula_sum 'Pm1 Np2 U1 P4'
_cell_length_a 6.920
_cell_length_b 6.920
_cell_length_c 6.920
_cell_angle_alpha 131.81
_cell_angle_beta 131.81
_cell_angle_gamma 70.53
_symmetry_space_group_name_H-M 'P 1'
_symmetry_Int_Tables_number 1
loop_
_symmetry_equiv_pos_as_xyz
'x,y,z'
loop_
_atom_site_label
_atom_site_fract_x
_atom_site_fract_y
_atom_site_fract_z
_atom_site_occupancy
Pm1 0.000 0.000 0.000 1
Np1 0.500 0.500 0.000 1
Np2 0.750 0.250 0.500 1
U1 0.250 0.750 0.500 1
P1 0.001 0.501 0.500 1
P2 0.256 0.256 0.000 1
P3 0.499 0.999 0.500 1
P4 0.744 0.744 0.000 1
```

***

[5]
Density functional theory data (GGA-PBE) for a relaxed PmYNp2P4 crystal.

* DFT formation energy: -1.23 eV per atom

Cell and atoms, written as CIF:
```
data_PmYNp2P4
_chemical_formula_sum 'Pm1 Y1 Np2 P4'
_cell_length_a 6.943
_cell_length_b 4.007
_cell_length_c 6.955
_cell_angle_alpha 90.00
_cell_angle_beta 109.42
_cell_angle_gamma 90.00
_symmetry_space_group_name_H-M 'P 1'
_symmetry_Int_Tables_number 1
loop_
_symmetry_equiv_pos_as_xyz
'x,y,z'
loop_
_atom_site_label
_atom_site_fract_x
_atom_site_fract_y
_atom_site_fract_z
_atom_site_occupancy
Pm1 0.000 0.000 0.000 1
Y1 0.500 0.500 0.000 1
Np1 0.000 0.500 0.500 1
Np2 0.500 0.000 0.500 1
P1 0.250 0.000 0.740 1
P2 0.258 0.500 0.263 1
P3 0.742 0.500 0.737 1
P4 0.750 0.000 0.260 1
```

***

[6]
Density functional theory data (GGA-PBE) for a relaxed Pm2YNpP4 crystal.

* DFT formation energy: -1.40 eV per atom

Cell and atoms, written as CIF:
```
data_Pm2YNpP4
_chemical_formula_sum 'Pm2 Y1 Np1 P4'
_cell_length_a 7.013
_cell_length_b 4.049
_cell_length_c 7.028
_cell_angle_alpha 90.00
_cell_angle_beta 109.30
_cell_angle_gamma 90.00
_symmetry_space_group_name_H-M 'P 1'
_symmetry_Int_Tables_number 1
loop_
_symmetry_equiv_pos_as_xyz
'x,y,z'
loop_
_atom_site_label
_atom_site_fract_x
_atom_site_fract_y
_atom_site_fract_z
_atom_site_occupancy
Pm1 0.000 0.000 0.000 1
Pm2 0.500 0.500 0.000 1
Y1 0.000 0.500 0.500 1
Np1 0.500 0.000 0.500 1
P1 0.251 0.000 0.739 1
P2 0.258 0.500 0.263 1
P3 0.742 0.500 0.737 1
P4 0.749 0.000 0.261 1
```

***

[7]
Density functional theory data (GGA-PBE) for a relaxed Pm2ZrNpP4 crystal.

* DFT formation energy: -1.34 eV per atom

Cell and atoms, written as CIF:
```
data_Pm2ZrNpP4
_chemical_formula_sum 'Pm2 Zr1 Np1 P4'
_cell_length_a 6.862
_cell_length_b 3.975
_cell_length_c 6.916
_cell_angle_alpha 90.00
_cell_angle_beta 109.18
_cell_angle_gamma 90.00
_symmetry_space_group_name_H-M 'P 1'
_symmetry_Int_Tables_number 1
loop_
_symmetry_equiv_pos_as_xyz
'x,y,z'
loop_
_atom_site_label
_atom_site_fract_x
_atom_site_fract_y
_atom_site_fract_z
_atom_site_occupancy
Pm1 0.000 0.000 0.000 1
Pm2 0.500 0.500 0.000 1
Zr1 0.000 0.500 0.500 1
Np1 0.500 0.000 0.500 1
P1 0.239 0.000 0.729 1
P2 0.251 0.500 0.268 1
P3 0.749 0.500 0.732 1
P4 0.761 0.000 0.271 1
```

***

[8]
Density functional theory data (GGA-PBE) for a relaxed PrNp2P4 crystal.

* DFT formation energy: -0.76 eV per atom

Cell and atoms, written as CIF:
```
data_PrNp2P4
_chemical_formula_sum 'Pr2 Np4 P8'
_cell_length_a 7.050
_cell_length_b 7.050
_cell_length_c 11.370
_cell_angle_alpha 90.00
_cell_angle_beta 90.00
_cell_angle_gamma 145.61
_symmetry_space_group_name_H-M 'P 1'
_symmetry_Int_Tables_number 1
loop_
_symmetry_equiv_pos_as_xyz
'x,y,z'
loop_
_atom_site_label
_atom_site_fract_x
_atom_site_fract_y
_atom_site_fract_z
_atom_site_occupancy
Pr1 0.104 0.896 0.750 1
Pr2 0.896 0.104 0.250 1
Np1 0.368 0.632 0.553 1
Np2 0.368 0.632 0.947 1
Np3 0.632 0.368 0.053 1
Np4 0.632 0.368 0.447 1
P1 0.000 0.000 0.000 1
P2 0.000 0.000 0.500 1
P3 0.254 0.746 0.150 1
P4 0.254 0.746 0.350 1
P5 0.462 0.538 0.750 1
P6 0.538 0.462 0.250 1
P7 0.746 0.254 0.650 1
P8 0.746 0.254 0.850 1
```

***

[9]
Density functional theory data (GGA-PBE) for a relaxed Pr4NpP5 crystal.

* DFT formation energy: -1.37 eV per atom

Cell and atoms, written as CIF:
```
data_Pr4NpP5
_chemical_formula_sum 'Pr4 Np1 P5'
_cell_length_a 7.190
_cell_length_b 7.190
_cell_length_c 7.190
_cell_angle_alpha 99.60
_cell_angle_beta 99.60
_cell_angle_gamma 131.79
_symmetry_space_group_name_H-M 'P 1'
_symmetry_Int_Tables_number 1
loop_
_symmetry_equiv_pos_as_xyz
'x,y,z'
loop_
_atom_site_label
_atom_site_fract_x
_atom_site_fract_y
_atom_site_fract_z
_atom_site_occupancy
Pr1 0.098 0.300 0.398 1
Pr2 0.300 0.902 0.203 1
Pr3 0.700 0.098 0.797 1
Pr4 0.902 0.700 0.602 1
Np1 0.500 0.500 0.000 1
P1 0.000 0.000 0.000 1
P2 0.212 0.595 0.807 1
P3 0.405 0.212 0.617 1
P4 0.595 0.788 0.383 1
P5 0.788 0.405 0.193 1
```

***

[10]
Density functional theory data (GGA-PBE) for a relaxed PrNp2P3 crystal.

* DFT formation energy: -1.07 eV per atom

Cell and atoms, written as CIF:
```
data_PrNp2P3
_chemical_formula_sum 'Pr4 Np8 P12'
_cell_length_a 13.385
_cell_length_b 12.761
_cell_length_c 6.995
_cell_angle_alpha 79.48
_cell_angle_beta 69.61
_cell_angle_gamma 30.92
_symmetry_space_group_name_H-M 'P 1'
_symmetry_Int_Tables_number 1
loop_
_symmetry_equiv_pos_as_xyz
'x,y,z'
loop_
_atom_site_label
_atom_site_fract_x
_atom_site_fract_y
_atom_site_fract_z
_atom_site_occupancy
Pr1 0.042 0.042 0.208 1
Pr2 0.208 0.208 0.042 1
Pr3 0.792 0.792 0.958 1
Pr4 0.958 0.958 0.792 1
Np1 0.124 0.124 0.626 1
Np2 0.290 0.290 0.460 1
Np3 0.374 0.374 0.876 1
Np4 0.460 0.460 0.290 1
Np5 0.540 0.540 0.710 1
Np6 0.626 0.626 0.124 1
Np7 0.710 0.710 0.540 1
Np8 0.876 0.876 0.374 1
P1 0.044 0.545 0.220 1
P2 0.140 0.610 0.610 1
P3 0.220 0.691 0.044 1
P4 0.309 0.780 0.455 1
P5 0.390 0.860 0.860 1
P6 0.455 0.956 0.309 1
P7 0.545 0.044 0.691 1
P8 0.610 0.140 0.140 1
P9 0.691 0.220 0.545 1
P10 0.780 0.309 0.956 1
P11 0.860 0.390 0.390 1
P12 0.956 0.455 0.780 1
```

***

[11]
Density functional theory data (GGA-PBE) for a relaxed PrNp3P4 crystal.

* DFT formation energy: -1.01 eV per atom

Cell and atoms, written as CIF:
```
data_PrNp3P4
_chemical_formula_sum 'Pr1 Np3 P4'
_cell_length_a 6.967
_cell_length_b 6.967
_cell_length_c 4.013
_cell_angle_alpha 90.00
_cell_angle_beta 90.00
_cell_angle_gamma 109.38
_symmetry_space_group_name_H-M 'P 1'
_symmetry_Int_Tables_number 1
loop_
_symmetry_equiv_pos_as_xyz
'x,y,z'
loop_
_atom_site_label
_atom_site_fract_x
_atom_site_fract_y
_atom_site_fract_z
_atom_site_occupancy
Pr1 0.000 0.000 0.000 1
Np1 0.000 0.500 0.500 1
Np2 0.500 0.000 0.500 1
Np3 0.500 0.500 0.000 1
P1 0.256 0.744 0.000 1
P2 0.264 0.264 0.500 1
P3 0.736 0.736 0.500 1
P4 0.744 0.256 0.000 1
```